First-principles (PBE) data for a relaxed structure of NaSrV, as listed in the Alexandria database.

Cell lengths 6.141, 6.141, 12.419 Å; angles 90.00, 90.00, 120.00 degrees
Last column: magnetic moment on the atom in μB.
Fractional positions:
Na 0.333 0.667 0.250  0.00
Na 0.667 0.333 0.750  0.00
V 0.000 0.000 0.500  3.31
V 0.000 0.000 0.000  3.31
Sr 0.000 0.000 0.250  0.17
Sr 0.000 0.000 0.750  0.17

## Properties
Its total DFT energy (no corrections) is -13.5 eV/cell. The density of states at the Fermi level comes out at 18.6 states/eV per cell.